Record 1
DFT (PBE) results for a relaxed structure of K2ScRh2O6.

Computed properties:
DOS(E_F) = 16.74 states/eV/cell
calculated volume = 14.32 A^3/atom
uncorrected formation energy = -1.62 eV per atom

Cell lengths 5.363, 9.433, 6.509 Å; angles 90.00, 106.91, 90.00 degrees
Space group C2/m (No. 12)
One atom of each set of equivalent atoms:
1 K 0.000 0.167 0.000 (multiplicity 4)
2 Sc 0.000 0.000 0.500 (multiplicity 2)
3 Rh 0.000 0.334 0.500 (multiplicity 4)
4 O 0.219 0.500 0.673 (multiplicity 4)
5 O 0.229 0.171 0.672 (multiplicity 8)



Record 2
DFT (PBE) results for a relaxed structure of AcPr4Co.

Computed properties:
relative energy among the computed polymorphs = 0 meV per atom
DOS(E_F) = 31.46 states/eV/cell
calculated volume = 34.55 A^3/atom
energy relative to the elements = 0.015 eV per atom

Cell lengths 17.246, 6.718, 7.488 Å; angles 90.00, 107.13, 90.00 degrees
Space group C2/c (No. 15)
One atom of each set of equivalent atoms:
1 Ac 0.000 0.067 0.250 (multiplicity 4)
2 Pr 0.101 0.418 0.982 (multiplicity 8)
3 Pr 0.198 0.083 0.643 (multiplicity 8)
4 Co 0.250 0.250 0.000 (multiplicity 4)



Record 3
DFT (PBE) results for a relaxed structure of Sr2In3Au4.

Computed properties:
DOS(E_F) = 14.48 states/eV/cell
calculated volume = 24.88 A^3/atom
energy relative to the elements = -0.543 eV per atom

Cell lengths 6.402, 16.776, 8.339 Å; angles 90.00, 90.00, 90.00 degrees
Space group Cmce (No. 64)
One atom of each set of equivalent atoms:
1 Sr 0.000 0.109 0.087 (multiplicity 8)
2 In 0.000 0.000 0.500 (multiplicity 4)
3 In 0.250 0.222 0.750 (multiplicity 8)
4 Au 0.000 0.180 0.463 (multiplicity 8)
5 Au 0.250 0.052 0.750 (multiplicity 8)



Record 4
DFT (PBE) results for a relaxed structure of Ca2AgW.

Computed properties:
relative energy among the computed polymorphs = 175 meV per atom
DOS(E_F) = 5.67 states/eV/cell
calculated volume = 23.14 A^3/atom
energy relative to the elements = 0.687 eV per atom

Cell lengths 3.109, 4.367, 6.819 Å; angles 90.00, 90.00, 90.00 degrees
Space group Pmmm (No. 47)
One atom of each set of equivalent atoms:
1 Ca 0.000 0.000 0.244 (multiplicity 2)
2 Ag 0.500 0.500 0.500 (multiplicity 1)
3 W 0.500 0.500 0.000 (multiplicity 1)



Record 5
DFT (PBE) results for a relaxed structure of Ti4Bi3H2.

Computed properties:
DOS(E_F) = 21.91 states/eV/cell
calculated volume = 18.01 A^3/atom
calculated total energy = -5.686 eV/atom

Cell lengths 11.952, 9.533, 5.957 Å; angles 90.00, 107.18, 90.00 degrees
Space group C2/c (No. 15)
One atom of each set of equivalent atoms:
1 Ti 0.150 0.245 0.069 (multiplicity 8)
2 Ti 0.212 0.469 0.626 (multiplicity 8)
3 Bi 0.000 0.452 0.250 (multiplicity 4)
4 Bi 0.111 0.148 0.561 (multiplicity 8)
5 H 0.228 0.379 0.926 (multiplicity 8)



Record 6
DFT (PBE) results for a relaxed structure of CdGa2Ir.

Computed properties:
DOS(E_F) = 1.49 states/eV/cell
calculated volume = 17.90 A^3/atom
energy relative to the elements = -0.102 eV per atom

Cell lengths 2.949, 2.949, 8.234 Å; angles 90.00, 90.00, 90.00 degrees
Space group P4/mmm (No. 123)
One atom of each set of equivalent atoms:
1 Cd 0.000 0.000 0.000 (multiplicity 1)
2 Ga 0.500 0.500 0.299 (multiplicity 2)
3 Ir 0.000 0.000 0.500 (multiplicity 1)



Record 7
DFT (PBE) results for a relaxed structure of ThVNiP2.

Computed properties:
DOS(E_F) = 8.69 states/eV/cell
calculated volume = 16.53 A^3/atom
energy relative to the elements = -0.946 eV per atom

Cell lengths 3.794, 3.794, 11.483 Å; angles 90.00, 90.00, 90.00 degrees
Space group I-4m2 (No. 119)
One atom of each set of equivalent atoms:
1 Th 0.000 0.000 0.000 (multiplicity 2)
2 V 0.000 0.500 0.250 (multiplicity 2)
3 Ni 0.000 0.500 0.750 (multiplicity 2)
4 P 0.000 0.000 0.366 (multiplicity 4)



Record 8
DFT (PBE) results for a relaxed structure of NdMgPt2.

Computed properties:
DOS(E_F) = 1.52 states/eV/cell
calculated volume = 20.24 A^3/atom
energy relative to the elements = -0.873 eV per atom

Cell lengths 4.809, 4.809, 3.501 Å; angles 90.00, 90.00, 90.00 degrees
Space group P4/mmm (No. 123)
One atom of each set of equivalent atoms:
1 Nd 0.000 0.000 0.000 (multiplicity 1)
2 Mg 0.500 0.500 0.000 (multiplicity 1)
3 Pt 0.000 0.500 0.500 (multiplicity 2)